[1]
# La2Ni2Ge

A geometry-optimized La2Ni2Ge structure (PBE-GGA, the Alexandria database).

Results
DFT formation energy = -40.3 kJ per mole of atoms
Density of states at the Fermi level = 1.29 states/eV/f.u.
VASP energy = -5.62 eV per atom
Magnetization = 0.00 μB per cell

Cell: 5.5148 5.5148 5.3406 Å, 58.91 58.91 90.00°
Fractional coordinates of all 5 atoms:
Ni: 0.6593 0.6593 0.6815
Ni: 0.3407 0.3407 0.3185
Ge: 0.0000 0.0000 0.0000
La: 0.2500 0.7500 0.5000
La: 0.7500 0.2500 0.5000

[2]
# LaNiGe3

A geometry-optimized LaNiGe3 structure (PBE-GGA, the Alexandria database).

Results
DFT formation energy = -52.9 kJ per mole of atoms
Density of states at the Fermi level = 2.84 states/eV/f.u.
VASP energy = -5.46 eV per atom
Magnetization = 0.00 μB per cell

Cell: 5.7578 5.6117 6.1375 Å, 90.00 89.99 90.01°
Fractional coordinates of all 10 atoms:
La: 0.9184 0.0365 0.2007
La: 0.4183 0.3162 0.7007
Ge: 0.4569 0.8423 0.4321
Ge: 0.4570 0.8422 0.9695
Ge: 0.8823 0.0870 0.7007
Ge: 0.9568 0.5104 0.9319
Ge: 0.9570 0.5105 0.4696
Ge: 0.3828 0.2654 0.2007
Ni: 0.6634 0.5663 0.2010
Ni: 0.1633 0.7869 0.7009

[3]
# LaNi6Ge4

A geometry-optimized LaNi6Ge4 structure (PBE-GGA, the Alexandria database).

Results
DFT formation energy = -45.2 kJ per mole of atoms
Density of states at the Fermi level = 6.29 states/eV/f.u.
VASP energy = -5.75 eV per atom
Magnetization = 0.00 μB per cell

Cell: 3.8844 6.8526 6.8526 Å, 120.00 90.00 90.00°
Fractional coordinates of all 11 atoms:
Ni: 0.0000 0.5375 0.0749
Ni: 0.5000 0.2074 0.7926
Ni: 0.5000 0.5853 0.7926
Ni: 0.0000 0.9251 0.4625
Ni: 0.0000 0.5375 0.4625
Ni: 0.5000 0.2074 0.4147
Ge: 0.5000 0.8037 0.6074
Ge: 0.0000 0.3333 0.6667
Ge: 0.5000 0.8037 0.1963
Ge: 0.5000 0.3926 0.1963
La: 0.0000 0.0000 0.0000

[4]
# La2Ni2Ge

A geometry-optimized La2Ni2Ge structure (PBE-GGA, the Alexandria database).

Results
DFT formation energy = -53.4 kJ per mole of atoms
Density of states at the Fermi level = 2.45 states/eV/f.u.
VASP energy = -5.76 eV per atom
Magnetization = 0.00 μB per cell

Cell: 5.5310 5.5195 8.0484 Å, 103.51 90.00 120.07°
Fractional coordinates of all 10 atoms:
Ni: 0.0028 0.2672 0.9978
Ni: 0.7356 0.7328 0.5022
Ni: 0.2644 0.2672 0.4978
Ni: 0.9972 0.7328 0.0022
La: 0.5056 0.7065 0.8507
La: 0.7991 0.2935 0.6493
La: 0.2009 0.7065 0.3507
La: 0.4944 0.2935 0.1493
Ge: 0.1531 0.0000 0.7500
Ge: 0.8469 0.0000 0.2500

[5]
# LaNi5Ge2

A geometry-optimized LaNi5Ge2 structure (PBE-GGA, the Alexandria database).

Results
DFT formation energy = -39.9 kJ per mole of atoms
Density of states at the Fermi level = 5.43 states/eV/f.u.
VASP energy = -5.80 eV per atom
Magnetization = 0.00 μB per cell

Cell: 3.7864 6.0810 6.0810 Å, 66.56 71.86 71.86°
Fractional coordinates of all 8 atoms:
Ge: 0.2441 0.2559 0.2559
Ge: 0.7559 0.7441 0.7441
Ni: 0.3583 0.4570 0.8265
Ni: 0.3583 0.8265 0.4570
Ni: 0.0000 0.5000 0.5000
Ni: 0.6417 0.1735 0.5430
Ni: 0.6417 0.5430 0.1735
La: 0.0000 0.0000 0.0000

[6]
# La2Ni2Ge

A geometry-optimized La2Ni2Ge structure (PBE-GGA, the Alexandria database).

Results
DFT formation energy = -31.2 kJ per mole of atoms
Density of states at the Fermi level = 3.78 states/eV/f.u.
VASP energy = -5.53 eV per atom
Magnetization = 0.00 μB per cell

Cell: 3.5730 3.5730 8.9645 Å, 78.50 78.50 90.00°
Fractional coordinates of all 5 atoms:
Ni: 0.2500 0.7500 0.5000
Ni: 0.7500 0.2500 0.5000
La: 0.3806 0.3806 0.2388
La: 0.6194 0.6194 0.7612
Ge: 0.0000 0.0000 0.0000

[7]
# La2Ni2Ge3

A geometry-optimized La2Ni2Ge3 structure (PBE-GGA, the Alexandria database).

Results
DFT formation energy = -54.3 kJ per mole of atoms
Density of states at the Fermi level = 5.27 states/eV/f.u.
VASP energy = -5.60 eV per atom
Magnetization = 0.00 μB per cell

Cell: 4.2628 5.4837 6.8398 Å, 107.86 90.00 112.87°
Fractional coordinates of all 7 atoms:
La: 0.8488 0.6976 0.2137
La: 0.1512 0.3024 0.7863
Ni: 0.1459 0.2918 0.2828
Ni: 0.8541 0.7082 0.7172
Ge: 0.3876 0.7752 0.5625
Ge: 0.6124 0.2248 0.4375
Ge: 0.5000 0.0000 0.0000

[8]
# LaNi3Ge2

A geometry-optimized LaNi3Ge2 structure (PBE-GGA, the Alexandria database).

Results
DFT formation energy = -53.5 kJ per mole of atoms
Density of states at the Fermi level = 4.38 states/eV/f.u.
VASP energy = -5.81 eV per atom
Magnetization = 0.00 μB per cell

Cell: 3.9609 7.8969 7.2117 Å, 113.97 90.00 104.52°
Fractional coordinates of all 12 atoms:
Ni: 0.9640 0.9279 0.6248
Ni: 0.6849 0.3698 0.4461
Ni: 0.0360 0.0721 0.3752
Ni: 0.4130 0.8261 0.3492
Ni: 0.5870 0.1739 0.6508
Ni: 0.3151 0.6302 0.5539
Ge: 0.8145 0.6290 0.3375
Ge: 0.5219 0.0439 0.1944
Ge: 0.4781 0.9561 0.8056
Ge: 0.1855 0.3710 0.6625
La: 0.1530 0.3061 0.0718
La: 0.8470 0.6939 0.9282

Repeat the third record exactly.
# LaNi6Ge4

A geometry-optimized LaNi6Ge4 structure (PBE-GGA, the Alexandria database).

Results
DFT formation energy = -45.2 kJ per mole of atoms
Density of states at the Fermi level = 6.29 states/eV/f.u.
VASP energy = -5.75 eV per atom
Magnetization = 0.00 μB per cell

Cell: 3.8844 6.8526 6.8526 Å, 120.00 90.00 90.00°
Fractional coordinates of all 11 atoms:
Ni: 0.0000 0.5375 0.0749
Ni: 0.5000 0.2074 0.7926
Ni: 0.5000 0.5853 0.7926
Ni: 0.0000 0.9251 0.4625
Ni: 0.0000 0.5375 0.4625
Ni: 0.5000 0.2074 0.4147
Ge: 0.5000 0.8037 0.6074
Ge: 0.0000 0.3333 0.6667
Ge: 0.5000 0.8037 0.1963
Ge: 0.5000 0.3926 0.1963
La: 0.0000 0.0000 0.0000